SCAN Sc2ZnRe, PBEsol geometry; symmetry = R3m (160); crystal system = trigonal; E_form = 26.50 kJ/mol of atoms
1.0
2.916 0.000 0.000
1.458 2.525 0.000
1.458 0.842 9.568
Zn Sc Re
1 2 1
Cartesian
2.916 1.684 4.626 Zn
4.374 2.525 6.993 Sc
4.374 2.525 0.211 Sc
1.458 0.842 2.520 Re


SCAN ZrSc2Re, PBEsol geometry; symmetry = Imm2 (44); crystal system = orthorhombic; energy relative to the lowest polymorph listed for this composition = 1.6 kJ per mole of atoms; E_form = -11.79 kJ/mol of atoms
1.0
-0.126 2.947 1.652
-1.530 -2.314 4.011
5.412 -0.909 -1.425
Zr Re Sc
1 1 2
Cartesian
-0.471 0.270 2.942 Zr
1.482 -1.446 2.692 Re
2.248 1.175 1.535 Sc
3.425 -0.234 4.138 Sc


Computed values of VASP energy (unit: eV/f.u.) for the preceding records, in sequence: -111.988; -130.759.